Density functional theory data (GGA-PBE) for PaH6Rh5 after structural relaxation.

The structure in CIF format:
```
data_PaH6Rh5
_space_group_name_H-M_alt 'C 1 2/m 1'
_space_group_IT_number 12
_cell_length_a 5.5280
_cell_length_b 8.8051
_cell_length_c 5.0352
_cell_angle_alpha 90.00
_cell_angle_beta 107.37
_cell_angle_gamma 90.00
loop_
_space_group_symop_operation_xyz
'x,y,z'
'-x,-y,-z'
'-x,y,-z'
'x,-y,z'
'x+1/2,y+1/2,z'
'-x+1/2,-y+1/2,-z'
'-x+1/2,y+1/2,-z'
'x+1/2,-y+1/2,z'
loop_
_atom_site_label
_atom_site_type_symbol
_atom_site_fract_x
_atom_site_fract_y
_atom_site_fract_z
_atom_site_occupancy
Pa1 Pa 0.0000 0.0000 0.0000 1
H1 H 0.0719 0.5000 0.8606 1
H2 H 0.1509 0.3334 0.3814 1
Rh1 Rh 0.0000 0.1576 0.5000 1
Rh2 Rh 0.0000 0.3196 0.0000 1
Rh3 Rh 0.0000 0.5000 0.5000 1
```

Summary:
* theoretical density: 10.7 g cm⁻³
* calculated total energy: -5.7387 eV/atom
* crystal system: monoclinic
* calculated volume: 9.75 Å³/atom